Material: CsBaAgCl4
Method: DFT, GGA-PBE
State: optimized geometry

Unit cell a=7.4213 b=7.2014 c=9.6399 alpha=90.00 beta=108.95 gamma=90.00
Closest atoms and distances in Å follow each position.
Fractional coordinates of all 14 atoms:
Cs 0.7423 0.7500 0.9404  4 Cl 3.41-3.73
Cs 0.2577 0.2500 0.0596  4 Cl 3.41-3.73
Ba 0.7675 0.7500 0.4458  6 Cl 3.10-3.17
Ba 0.2325 0.2500 0.5542  6 Cl 3.10-3.17
Ag 0.2332 0.7500 0.3109  4 Cl 2.52-2.61
Ag 0.7668 0.2500 0.6891  4 Cl 2.52-2.61
Cl 0.0196 0.5091 0.7139  1 Ag 2.60
Cl 0.9804 0.0091 0.2861  1 Ag 2.60
Cl 0.9804 0.4909 0.2861  1 Ag 2.60
Cl 0.0196 0.9909 0.7139  1 Ag 2.60
Cl 0.4352 0.7500 0.1454  1 Ag 2.52
Cl 0.5648 0.2500 0.8546  1 Ag 2.52
Cl 0.4459 0.7500 0.5857  1 Ag 2.61
Cl 0.5541 0.2500 0.4143  1 Ag 2.61

Calculated values
* VASP energy: -50.79 eV/cell
* crystal system: monoclinic
* space group: P2_1/m (11)



Material: Ba2CuAgCl6
Method: DFT, GGA-PBE
State: optimized geometry

Unit cell a=7.3076 b=7.3076 c=11.9187 alpha=72.15 beta=72.15 gamma=60.00
Closest atoms and distances in Å follow each position.
Fractional coordinates of all 20 atoms:
Ba 0.8753 0.8753 0.3740  12 Cl 3.29-3.66
Ba 0.1247 0.1247 0.6260  12 Cl 3.29-3.66
Ba 0.7141 0.7141 0.8578  12 Cl 3.32-3.72
Ba 0.2859 0.2859 0.1422  12 Cl 3.32-3.72
Cu 0.0000 0.0000 0.0000  6 Cl 2.47
Cu 0.5000 0.5000 0.5000  6 Cl 2.63, 2 Ag 2.69
Ag 0.5804 0.5804 0.2588  6 Cl 2.64-2.71, 1 Cu 2.69
Ag 0.4196 0.4196 0.7412  6 Cl 2.64-2.71, 1 Cu 2.69
Cl 0.9028 0.3555 0.3861  1 Cu 2.63, 1 Ag 2.71
Cl 0.3555 0.9028 0.3861  1 Cu 2.63, 1 Ag 2.71
Cl 0.3555 0.3555 0.3861  1 Cu 2.63, 1 Ag 2.71
Cl 0.0972 0.6445 0.6139  1 Cu 2.63, 1 Ag 2.71
Cl 0.6445 0.0972 0.6139  1 Cu 2.63, 1 Ag 2.71
Cl 0.6445 0.6445 0.6139  1 Cu 2.63, 1 Ag 2.71
Cl 0.7230 0.2021 0.8727  1 Cu 2.47, 1 Ag 2.64
Cl 0.2021 0.7230 0.8727  1 Cu 2.47, 1 Ag 2.64
Cl 0.2021 0.2021 0.8727  1 Cu 2.47, 1 Ag 2.64
Cl 0.2770 0.7979 0.1273  1 Cu 2.47, 1 Ag 2.64
Cl 0.7979 0.2770 0.1273  1 Cu 2.47, 1 Ag 2.64
Cl 0.7979 0.7979 0.1273  1 Cu 2.47, 1 Ag 2.64

Calculated values
* VASP energy: -74.67 eV/cell
* crystal system: trigonal
* space group: R-3m (166)



Material: BaCu3Ag4Cl12
Method: DFT, GGA-PBE
State: optimized geometry

Unit cell a=8.5072 b=8.5072 c=8.5072 alpha=109.47 beta=109.47 gamma=109.47
Closest atoms and distances in Å follow each position.
Fractional coordinates of all 20 atoms:
Ba 0.0000 0.0000 0.0000  12 Cl 3.56
Cu 0.0000 0.5000 0.5000  4 Cl 2.33
Cu 0.5000 0.5000 0.0000  4 Cl 2.33
Cu 0.5000 0.0000 0.5000  4 Cl 2.33
Ag 0.5000 0.0000 0.0000  6 Cl 2.71
Ag 0.5000 0.5000 0.5000  6 Cl 2.71
Ag 0.0000 0.5000 0.0000  6 Cl 2.71
Ag 0.0000 0.0000 0.5000  6 Cl 2.71
Cl 0.3254 0.8397 0.1650  1 Cu 2.33
Cl 0.6746 0.1603 0.8350  1 Cu 2.33
Cl 0.6746 0.8397 0.5143  1 Cu 2.33
Cl 0.8350 0.6746 0.1603  1 Cu 2.33
Cl 0.8397 0.1650 0.3254  1 Cu 2.33
Cl 0.1603 0.4857 0.3254  1 Cu 2.33
Cl 0.4857 0.3254 0.1603  1 Cu 2.33
Cl 0.1603 0.8350 0.6746  1 Cu 2.33
Cl 0.3254 0.1603 0.4857  1 Cu 2.33
Cl 0.1650 0.3254 0.8397  1 Cu 2.33
Cl 0.8397 0.5143 0.6746  1 Cu 2.33
Cl 0.5143 0.6746 0.8397  1 Cu 2.33

Calculated values
* VASP energy: -62.44 eV/cell
* crystal system: cubic
* space group: Im-3 (204)